No. 1
3
Lattice="-4.019 -1.780 -0.488 -3.586 2.587 0.061 -2.290 0.694 -3.719" Properties=species:S:1:pos:R:3 comment="NpZnMo (PBE-GGA, relaxed)" e_tot_ev_per_cell=-22.69 e_above_lowest_polymorph_mev_per_atom=0 space_group="F-43m (216)" volume_a3_per_cell=61.16 pbc="T T T"
Zn -7.421 1.126 -3.109
Mo 0.000 0.000 0.000
Np -2.474 0.375 -1.036


No. 2
3
Lattice="0.000 3.129 3.129 3.129 0.000 3.129 3.129 3.129 0.000" Properties=species:S:1:pos:R:3 comment="NpZnMo (PBE-GGA, relaxed)" e_tot_ev_per_cell=-21.25 e_above_lowest_polymorph_mev_per_atom=478 space_group="F-43m (216)" volume_a3_per_cell=61.27 pbc="T T T"
Zn 4.693 4.693 4.693
Mo 1.564 1.564 1.564
Np 0.000 0.000 0.000


No. 3
4
Lattice="1.119 1.983 3.952 -1.824 -1.501 3.902 2.591 -2.232 3.018" Properties=species:S:1:pos:R:3 comment="MoOs2Pb (PBE-GGA, relaxed)" e_tot_ev_per_cell=-33.33 space_group="F-43m (216)" volume_a3_per_cell=67.10 pbc="T T T"
Os 1.414 -1.312 8.154
Os 0.000 0.000 0.000
Pb 0.943 -0.875 5.436
Mo 0.471 -0.437 2.718


No. 4
7
Lattice="-6.130 2.922 2.922 -2.922 2.922 6.130 -2.922 6.130 2.922" Properties=species:S:1:pos:R:3 comment="Mo3Os2Pb2 (PBE-GGA, relaxed)" e_tot_ev_per_cell=-57.92 space_group="R3m (160)" volume_a3_per_cell=123.17 pbc="T T T"
Os -9.148 9.148 9.148
Mo -10.913 10.913 10.913
Mo -7.458 7.458 7.458
Pb -0.625 0.625 0.625
Os -2.520 2.520 2.520
Mo -3.959 3.959 3.959
Pb -5.790 5.790 5.790


No. 5
4
Lattice="-1.186 -2.049 3.932 -3.053 -3.426 -0.027 1.366 -4.298 0.851" Properties=species:S:1:pos:R:3 comment="Mo2OsPb (PBE-GGA, relaxed)" e_tot_ev_per_cell=-33.78 space_group="F-43m (216)" volume_a3_per_cell=68.35 pbc="T T T"
Mo -2.155 -7.330 3.567
Pb -1.437 -4.886 2.378
Os -0.718 -2.443 1.189
Mo 0.000 0.000 0.000


No. 6
4
Lattice="0.000 3.427 3.427 3.427 0.000 3.427 3.427 3.427 0.000" Properties=species:S:1:pos:R:3 comment="MoOsPb2 (PBE-GGA, relaxed)" e_tot_ev_per_cell=-25.27 space_group="F-43m (216)" volume_a3_per_cell=80.49 pbc="T T T"
Mo 0.000 0.000 0.000
Pb 3.427 3.427 3.427
Os 1.713 1.713 1.713
Pb 5.140 5.140 5.140


No. 7
8
Lattice="4.400 0.000 0.000 0.000 2.776 4.805 0.000 -2.776 4.805" Properties=species:S:1:pos:R:3 comment="Mo2Os5Pd (PBE-GGA, relaxed)" e_tot_ev_per_cell=-83.28 space_group="Amm2 (38)" volume_a3_per_cell=117.40 pbc="T T T"
Mo 0.000 0.000 6.377
Os 2.200 -1.362 5.577
Os 0.000 1.389 4.028
Os 2.200 1.362 5.577
Os 0.000 0.000 1.602
Os 0.000 -1.389 4.028
Mo 2.200 0.000 3.235
Pd 2.200 0.000 8.017


No. 8
3
Lattice="0.000 2.986 2.986 2.986 0.000 2.986 2.986 2.986 0.000" Properties=species:S:1:pos:R:3 comment="MoOsPd (PBE-GGA, relaxed)" e_tot_ev_per_cell=-25.50 e_above_lowest_polymorph_mev_per_atom=0 space_group="F-43m (216)" volume_a3_per_cell=53.24 pbc="T T T"
Mo 0.000 0.000 0.000
Pd 4.479 4.479 4.479
Os 1.493 1.493 1.493


No. 9
8
Lattice="4.491 0.000 0.000 0.000 2.731 4.863 0.000 -2.731 4.863" Properties=species:S:1:pos:R:3 comment="Mo2OsPd5 (PBE-GGA, relaxed)" e_tot_ev_per_cell=-58.77 space_group="Amm2 (38)" volume_a3_per_cell=119.26 pbc="T T T"
Pd 2.245 -1.350 5.637
Pd 2.245 1.350 5.637
Os 0.000 0.000 1.702
Pd 2.245 0.000 8.032
Pd 0.000 1.355 4.101
Mo 2.245 0.000 3.146
Mo 0.000 0.000 6.546
Pd 0.000 -1.355 4.101


No. 10
4
Lattice="0.000 3.141 3.141 3.141 0.000 3.141 3.141 3.141 0.000" Properties=species:S:1:pos:R:3 comment="MoOsPt2 (PBE-GGA, relaxed)" e_tot_ev_per_cell=-33.21 e_above_lowest_polymorph_mev_per_atom=417 space_group="F-43m (216)" volume_a3_per_cell=61.98 pbc="T T T"
Pt 1.571 1.571 1.571
Pt 0.000 0.000 0.000
Mo 3.141 3.141 3.141
Os 4.712 4.712 4.712


No. 11
8
Lattice="-0.612 -1.735 4.075 5.495 -0.034 0.811 -2.957 4.469 1.459" Properties=species:S:1:pos:R:3 comment="MoOsPt2 (PBE-GGA, relaxed)" e_tot_ev_per_cell=-69.75 e_above_lowest_polymorph_mev_per_atom=0 space_group="Ama2 (40)" volume_a3_per_cell=119.97 pbc="T T T"
Pt 2.481 2.481 2.656
Pt -1.985 2.433 4.418
Os 1.150 0.324 1.537
Mo -0.261 2.506 2.254
Pt 0.694 2.403 4.807
Pt 3.936 0.310 1.949
Os -0.488 0.166 3.677
Mo 2.176 0.176 4.081


No. 12
8
Lattice="-0.561 3.947 1.861 5.398 0.169 1.270 3.617 2.203 -3.583" Properties=species:S:1:pos:R:3 comment="Mo2Os5Pt (PBE-GGA, relaxed)" e_tot_ev_per_cell=-84.78 space_group="Amm2 (38)" volume_a3_per_cell=117.39 pbc="T T T"
Pt 7.242 3.953 -1.000
Os 4.222 0.489 0.236
Os 3.337 1.500 -2.176
Mo 2.751 2.771 0.153
Os 1.502 0.395 -0.385
Os 5.392 2.851 0.779
Mo 5.979 1.573 -1.534
Os 4.517 3.851 -1.605